No. 1
## CuSbW2 (PBE-GGA)

Data for crystalline CuSbW2 at its relaxed geometry.

Cell: 3.283 4.477 4.502 Å, 90.00 90.00 90.00°
Space group Pmmm (No. 47)
Unique sites:
1 Cu 0.000 0.000 0.000 [1 per cell]
2 Sb 0.500 0.500 0.000 [1 per cell]
3 W 0.000 0.500 0.500 [1 per cell]
4 W 0.500 0.000 0.500 [1 per cell]

Properties
density of states at the Fermi level = 2.80 states/eV/cell
volume = 66.2 Å³/f.u.
formation energy (no corrections) = 0.59 eV/atom

No. 2
## MgMnTcMo (PBE-GGA)

Data for crystalline MgMnTcMo at its relaxed geometry.

Cell: 6.186 6.186 6.186 Å, 90.00 90.00 90.00°
Space group F-43m (No. 216)
Unique sites:
1 Mg 0.000 0.000 0.000 [4 per cell]
2 Mn 0.250 0.250 0.250 [4 per cell]
3 Tc 0.250 0.250 0.750 [4 per cell]
4 Mo 0.000 0.000 0.500 [4 per cell]

Properties
density of states at the Fermi level = 10.03 states/eV/cell
energy of formation from the pure elements = 0.168 eV/atom
volume = 59.2 Å³/f.u.

No. 3
## AlSi2Ir (PBE-GGA)

Data for crystalline AlSi2Ir at its relaxed geometry.

Cell: 6.116 6.116 6.116 Å, 90.00 90.00 90.00°
Space group Fm-3m (No. 225)
Unique sites:
1 Al 0.000 0.000 0.000 [4 per cell]
2 Si 0.250 0.250 0.250 [8 per cell]
3 Ir 0.000 0.000 0.500 [4 per cell]

Properties
density of states at the Fermi level = 8.39 states/eV/cell
distance to the lowest polymorph of the same formula = 0.189 eV per atom
volume = 57.2 Å³/f.u.
formation energy (no corrections) = -0.01 eV/atom

No. 4
## Hg4Bi3Pb (PBE-GGA)

Data for crystalline Hg4Bi3Pb at its relaxed geometry.

Cell: 3.331 6.104 12.447 Å, 76.08 82.96 87.86°
Space group P-1 (No. 2)
Unique sites:
1 Hg 0.143 0.139 0.260 [2 per cell]
2 Hg 0.245 0.760 0.966 [2 per cell]
3 Bi 0.000 0.500 0.500 [1 per cell]
4 Bi 0.134 0.655 0.228 [2 per cell]
5 Pb 0.500 0.000 0.500 [1 per cell]

Properties
density of states at the Fermi level = 3.70 states/eV/cell
energy of formation from the pure elements = 0.048 eV/atom
volume = 243.8 Å³/f.u.

No. 5
## Pm4GeOs (PBE-GGA)

Data for crystalline Pm4GeOs at its relaxed geometry.

Cell: 9.042 13.554 6.347 Å, 90.00 119.76 90.00°
Space group C2/c (No. 15)
Unique sites:
1 Pm 0.120 0.177 0.086 [8 per cell]
2 Pm 0.209 0.435 0.303 [8 per cell]
3 Ge 0.000 0.370 0.750 [4 per cell]
4 Os 0.000 0.001 0.750 [4 per cell]

Properties
density of states at the Fermi level = 24.05 states/eV/cell
energy of formation from the pure elements = -0.372 eV/atom
volume = 168.8 Å³/f.u.

No. 6
## Ag3Te2 (PBE-GGA)

Data for crystalline Ag3Te2 at its relaxed geometry.

Cell: 4.3645 4.3645 7.6046 Å, 90.00 90.00 120.00°
Space group P-3m1 (No. 164)
Unique sites:
1 Ag 0.0000 0.0000 0.0000 [1 per cell]
2 Ag 0.3333 0.6667 0.4031 [2 per cell]
3 Te 0.3333 0.6667 0.7855 [2 per cell]

Properties
density of states at the Fermi level = 2.82 states/eV/cell
distance to the lowest polymorph of the same formula = 0.015 eV per atom
volume = 125.4 Å³/f.u.
formation energy (no corrections) = -0.02 eV/atom